No. 1
# CuRe2Te | Alexandria | GGA-PBEsol | relaxed
data_CuRe2Te
_chemical_formula_sum 'Cu2 Re4 Te2'
_cell_length_a 3.330
_cell_length_b 4.296
_cell_length_c 8.529
_cell_angle_alpha 90.00
_cell_angle_beta 90.00
_cell_angle_gamma 90.00
_symmetry_space_group_name_H-M 'I m m 2'
_symmetry_Int_Tables_number 44
_symmetry_space_group_name_Hall 'I 2 -2'
loop_
_atom_site_label
_atom_site_type_symbol
_atom_site_fract_x
_atom_site_fract_y
_atom_site_fract_z
_atom_site_occupancy
Cu1 Cu 0.000 0.000 0.000 1
Re1 Re 0.000 0.000 0.510 1
Re2 Re 0.000 0.500 0.745 1
Te1 Te 0.000 0.500 0.259 1
# * ΔE_f (raw): 0.771 eV/atom


No. 2
# LiIn7 | Alexandria | GGA-PBEsol | relaxed
data_LiIn7
_chemical_formula_sum 'Li4 In28'
_cell_length_a 9.206
_cell_length_b 9.206
_cell_length_c 9.206
_cell_angle_alpha 90.00
_cell_angle_beta 90.00
_cell_angle_gamma 90.00
_symmetry_space_group_name_H-M 'F m -3 m'
_symmetry_Int_Tables_number 225
_symmetry_space_group_name_Hall '-F 4 2 3'
loop_
_atom_site_label
_atom_site_type_symbol
_atom_site_fract_x
_atom_site_fract_y
_atom_site_fract_z
_atom_site_occupancy
Li1 Li 0.000 0.000 0.000 1
In1 In 0.000 0.000 0.500 1
In2 In 0.000 0.250 0.250 1
# * calculated formation energy: -70.3 meV/atom


No. 3
# CaLaHg2 | Alexandria | GGA-PBEsol | relaxed
data_CaLaHg2
_chemical_formula_sum 'Ca4 La4 Hg8'
_cell_length_a 7.551
_cell_length_b 7.551
_cell_length_c 7.551
_cell_angle_alpha 90.00
_cell_angle_beta 90.00
_cell_angle_gamma 90.00
_symmetry_space_group_name_H-M 'F m -3 m'
_symmetry_Int_Tables_number 225
_symmetry_space_group_name_Hall '-F 4 2 3'
loop_
_atom_site_label
_atom_site_type_symbol
_atom_site_fract_x
_atom_site_fract_y
_atom_site_fract_z
_atom_site_occupancy
Ca1 Ca 0.000 0.000 0.000 1
La1 La 0.000 0.000 0.500 1
Hg1 Hg 0.250 0.250 0.250 1
# * calculated formation energy: -624.4 meV/atom


No. 4
# CsPS2O | Alexandria | GGA-PBEsol | relaxed
data_CsPS2O
_chemical_formula_sum 'Cs1 P1 S2 O1'
_cell_length_a 6.093
_cell_length_b 6.093
_cell_length_c 3.283
_cell_angle_alpha 90.00
_cell_angle_beta 90.00
_cell_angle_gamma 90.00
_symmetry_space_group_name_H-M 'P 4/m m m'
_symmetry_Int_Tables_number 123
_symmetry_space_group_name_Hall '-P 4 2'
loop_
_atom_site_label
_atom_site_type_symbol
_atom_site_fract_x
_atom_site_fract_y
_atom_site_fract_z
_atom_site_occupancy
Cs1 Cs 0.000 0.000 0.000 1
P1 P 0.500 0.500 0.000 1
S1 S 0.000 0.500 0.500 1
O1 O 0.500 0.500 0.500 1
# * ΔE_f (raw): 0.311 eV/atom


No. 5
# ZrZn | Alexandria | GGA-PBEsol | relaxed
data_ZrZn
_chemical_formula_sum 'Zr4 Zn4'
_cell_length_a 10.634
_cell_length_b 3.107
_cell_length_c 4.837
_cell_angle_alpha 90.00
_cell_angle_beta 116.99
_cell_angle_gamma 90.00
_symmetry_space_group_name_H-M 'C 1 2/m 1'
_symmetry_Int_Tables_number 12
_symmetry_space_group_name_Hall '-C 2y'
loop_
_atom_site_label
_atom_site_type_symbol
_atom_site_fract_x
_atom_site_fract_y
_atom_site_fract_z
_atom_site_occupancy
Zr1 Zr 0.114 0.000 0.366 1
Zn1 Zn 0.147 0.500 0.898 1
# * calculated formation energy: -223.5 meV/atom


No. 6
# NaTaCu2S | Alexandria | GGA-PBEsol | relaxed
data_NaTaCu2S
_chemical_formula_sum 'Na1 Ta1 Cu2 S1'
_cell_length_a 4.865
_cell_length_b 4.865
_cell_length_c 4.646
_cell_angle_alpha 90.00
_cell_angle_beta 90.00
_cell_angle_gamma 90.00
_symmetry_space_group_name_H-M 'P 4/m m m'
_symmetry_Int_Tables_number 123
_symmetry_space_group_name_Hall '-P 4 2'
loop_
_atom_site_label
_atom_site_type_symbol
_atom_site_fract_x
_atom_site_fract_y
_atom_site_fract_z
_atom_site_occupancy
Na1 Na 0.000 0.000 0.000 1
Ta1 Ta 0.500 0.500 0.500 1
Cu1 Cu 0.000 0.500 0.500 1
S1 S 0.500 0.500 0.000 1
# * ΔE_f (raw): 0.411 eV/atom